{"formula": "ZrZnBr2", "functional": "PBE-GGA", "state": "relaxed", "lattice_angstrom": [[3.424, 0.000, 0.000], [0.000, 4.542, 0.000], [0.000, 0.000, 5.696]], "species": ["Zr", "Zn", "Br", "Br"], "frac_coords": [[0.000, 0.000, 0.000], [0.500, 0.000, 0.500], [0.000, 0.500, 0.500], [0.500, 0.500, 0.000]], "e_tot_ev_per_atom": -3.44, "e_form_raw_ev_per_atom": -0.14, "space_group": "Pmmm, No. 47", "dos_ef_per_ev_cell": 2.37}


{"formula": "CrGaRu2", "functional": "PBE-GGA", "state": "relaxed", "lattice_angstrom": [[2.986, 0.000, 0.000], [0.000, 2.986, 0.000], [0.000, 0.000, 6.058]], "species": ["Cr", "Ga", "Ru", "Ru"], "frac_coords": [[0.000, 0.000, 0.000], [0.000, 0.000, 0.500], [0.500, 0.500, 0.245], [0.500, 0.500, 0.755]], "e_tot_ev_per_atom": -7.98, "space_group": "P4/mmm, No. 123", "dos_ef_per_ev_cell": 1.96, "formation_energy_ev_per_atom": -0.184}